[1]
Below is crystalline CePmCu at its relaxed geometry, with properties calculated at the PBE level.

E above lowest polymorph   0.000 eV per atom
SG   Cmcm (63)
VASP energy   -29.70 eV for the cell shown
Formation energy   -0.07 eV/f.u.

Lattice parameters (Å, degrees): 3.454 5.231 8.382 90.00 101.89 90.00
Each line ends with the local moment (μB).
Fractional positions:
Cu (0.584, 0.750, 0.169)  0.00
Ce (0.231, 0.750, 0.461)  0.48
Pm (0.074, 0.250, 0.147)  0.01
Cu (0.416, 0.250, 0.831)  0.00
Ce (0.769, 0.250, 0.539)  0.48
Pm (0.926, 0.750, 0.853)  0.01

***

[2]
Below is crystalline KZnCu2 at its relaxed geometry, with properties calculated at the PBE level.

SG   P2/m (10)
VASP energy   -9.42 eV for the cell shown
Formation energy   1.14 eV/f.u.

Lattice parameters (Å, degrees): 4.249 2.769 6.979 79.61 90.00 90.00
Fractional positions:
K (0.500, 0.250, 0.250)
Cu (0.000, 0.518, 0.596)
Cu (0.000, 0.982, 0.904)
Zn (0.500, 0.750, 0.750)

***

[3]
Below is crystalline Rb2MgCoI6 at its relaxed geometry, with properties calculated at the PBE level.

SG   Fm-3m (225)
VASP energy   -27.95 eV for the cell shown
Formation energy (no corrections)   -0.80 eV per atom

Lattice parameters (Å, degrees): 8.153 8.153 8.153 60.00 60.00 90.00
Each line ends with the local moment (μB).
Fractional positions:
I (0.245, 0.245, 0.510)  0.06
Rb (0.750, 0.250, 0.500)  0.00
I (0.755, 0.755, 0.490)  0.06
I (0.756, 0.756, 0.000)  0.07
Rb (0.250, 0.750, 0.500)  0.00
Mg (0.500, 0.500, 0.000)  0.02
Co (0.000, 0.000, 0.000)  2.30
I (0.756, 0.244, 0.000)  0.07
I (0.244, 0.244, 0.000)  0.07
I (0.244, 0.756, 0.000)  0.07

***

[4]
Below is crystalline In3Ag2Au5 at its relaxed geometry, with properties calculated at the PBE level.

SG   C2/c (15)
VASP energy   -62.64 eV for the cell shown
Formation energy   -1.02 eV/f.u.

Lattice parameters (Å, degrees): 5.406 8.921 8.921 111.69 91.86 91.86
Fractional positions:
Ag (0.886, 0.603, 0.152)
Au (0.750, 0.539, 0.461)
In (0.631, 0.524, 0.780)
In (0.869, 0.220, 0.476)
Au (0.566, 0.826, 0.731)
Au (0.250, 0.461, 0.539)
Ag (0.614, 0.848, 0.396)
Au (0.380, 0.697, 0.067)
In (0.369, 0.476, 0.220)
Au (0.620, 0.303, 0.933)
Au (0.880, 0.067, 0.697)
Au (0.120, 0.933, 0.303)
In (0.131, 0.780, 0.524)
Au (0.934, 0.269, 0.174)
Au (0.066, 0.731, 0.826)
In (0.250, 0.070, 0.930)
Ag (0.114, 0.397, 0.848)
Au (0.434, 0.174, 0.269)
In (0.750, 0.930, 0.070)
Ag (0.386, 0.152, 0.604)

***

[5]
Below is crystalline PuIn2CuAu4 at its relaxed geometry, with properties calculated at the PBE level.

SG   R-3m (166)
VASP energy   -38.78 eV for the cell shown
Formation energy   -1.77 eV/f.u.

Lattice parameters (Å, degrees): 4.690 4.690 9.040 74.96 74.96 60.00
Each line ends with the local moment (μB).
Fractional positions:
Au (0.607, 0.607, 0.178)  0.00
Au (0.393, 0.393, 0.822)  0.00
Au (0.866, 0.866, 0.403)  0.00
In (0.755, 0.755, 0.736)  0.00
Cu (0.500, 0.500, 0.500)  -0.01
Pu (0.000, 0.000, 0.000)  5.26
In (0.245, 0.245, 0.264)  0.00
Au (0.134, 0.134, 0.597)  0.00

***

[6]
Below is crystalline Al4SiP4 at its relaxed geometry, with properties calculated at the PBE level.

SG   Cmc2_1 (36)
VASP energy   -86.30 eV for the cell shown
Formation energy (no corrections)   -0.12 eV per atom

Lattice parameters (Å, degrees): 3.994 4.087 26.317 90.00 90.00 119.25
Fractional positions:
P (0.668, 0.335, 0.360)
P (0.332, 0.665, 0.860)
Al (0.003, 0.006, 0.844)
Al (0.333, 0.666, 0.767)
P (0.670, 0.340, 0.128)
P (0.998, 0.996, 0.501)
Al (0.670, 0.340, 0.037)
P (0.004, 0.008, 0.744)
Al (0.000, 0.999, 0.651)
Al (0.000, 0.001, 0.151)
P (0.002, 0.004, 0.001)
P (0.330, 0.660, 0.628)
Al (0.667, 0.334, 0.267)
Al (0.997, 0.994, 0.344)
Si (0.674, 0.348, 0.482)
P (0.996, 0.992, 0.244)
Si (0.326, 0.652, 0.982)
Al (0.330, 0.660, 0.537)

***

[7]
Below is crystalline YTcP2Cl at its relaxed geometry, with properties calculated at the PBE level.

E above lowest polymorph   0.916 eV per atom
SG   P4/mmm (123)
VASP energy   -26.10 eV for the cell shown
Formation energy (no corrections)   0.68 eV per atom

Lattice parameters (Å, degrees): 5.316 5.316 5.056 90.00 90.00 90.00
Each line ends with the local moment (μB).
Fractional positions:
P (0.000, 0.500, 0.000)  -0.12
Tc (0.500, 0.500, 0.500)  3.93
Y (0.000, 0.000, 0.000)  0.01
P (0.500, 0.000, 0.000)  -0.12
Cl (0.000, 0.000, 0.500)  0.03

***

[8]
Below is crystalline YFeSb at its relaxed geometry, with properties calculated at the PBE level.

SG   P-6m2 (187)
VASP energy   -20.26 eV for the cell shown
Formation energy (no corrections)   -0.40 eV per atom

Lattice parameters (Å, degrees): 4.385 4.385 3.969 90.00 90.00 120.00
Each line ends with the local moment (μB).
Fractional positions:
Fe (0.000, 0.000, 0.167)  2.10
Y (0.667, 0.333, 0.666)  -0.08
Sb (0.333, 0.667, 0.167)  0.01

***

[9]
Below is crystalline Ni2HgMo at its relaxed geometry, with properties calculated at the PBE level.

SG   R3m (160)
VASP energy   -21.14 eV for the cell shown
Formation energy   1.55 eV/f.u.

Lattice parameters (Å, degrees): 8.918 8.918 8.918 18.06 18.06 18.06
Fractional positions:
Ni (0.997, 0.997, 0.997)
Hg (0.506, 0.506, 0.506)
Ni (0.258, 0.258, 0.258)
Mo (0.740, 0.740, 0.740)

***

[10]
Below is crystalline La4TlZn3 at its relaxed geometry, with properties calculated at the PBE level.

SG   R-3m (166)
VASP energy   -28.57 eV for the cell shown
Formation energy   -2.67 eV/f.u.

Lattice parameters (Å, degrees): 5.388 5.388 9.415 73.37 73.37 60.00
Fractional positions:
Zn (0.500, 0.500, 0.500)
Zn (0.749, 0.749, 0.753)
La (0.131, 0.131, 0.608)
La (0.869, 0.869, 0.392)
La (0.620, 0.620, 0.140)
La (0.380, 0.380, 0.860)
Tl (0.000, 0.000, 0.000)
Zn (0.251, 0.251, 0.247)

***

[11]
Below is crystalline La2CCl at its relaxed geometry, with properties calculated at the PBE level.

E above lowest polymorph   0.010 eV per atom
SG   R3m (160)
VASP energy   -25.01 eV for the cell shown
Formation energy (no corrections)   -1.02 eV per atom

Lattice parameters (Å, degrees): 3.821 3.821 7.814 75.85 75.85 60.00
Fractional positions:
Cl (0.499, 0.499, 0.503)
La (0.270, 0.270, 0.190)
La (0.064, 0.064, 0.807)
C (0.667, 0.667, 0.000)

***

[12]
Below is crystalline CaPd2Au at its relaxed geometry, with properties calculated at the PBE level.

E above lowest polymorph   0.290 eV per atom
SG   I-42d (122)
VASP energy   -33.83 eV for the cell shown
Formation energy   -1.25 eV/f.u.

Lattice parameters (Å, degrees): 4.129 4.129 10.022 78.11 78.11 90.00
Fractional positions:
Au (0.750, 0.250, 0.500)
Ca (0.500, 0.500, 0.000)
Ca (0.250, 0.750, 0.500)
Pd (0.648, 0.125, 0.250)
Au (0.000, 0.000, 0.000)
Pd (0.875, 0.898, 0.750)
Pd (0.375, 0.352, 0.750)
Pd (0.102, 0.625, 0.250)

***

[13]
Below is crystalline Tb4Sm3Se8 at its relaxed geometry, with properties calculated at the PBE level.

SG   C2/m (12)
VASP energy   -88.39 eV for the cell shown
Formation energy (no corrections)   -1.86 eV per atom

Lattice parameters (Å, degrees): 8.229 8.238 8.238 90.02 119.95 119.95
Fractional positions:
Sm (0.500, 0.500, 0.000)
Se (0.000, 0.252, 0.748)
Sm (0.500, 0.000, 0.500)
Se (0.500, 0.752, 0.248)
Se (0.004, 0.750, 0.750)
Se (0.497, 0.751, 0.751)
Se (0.996, 0.250, 0.250)
Sm (0.500, 0.500, 0.500)
Tb (0.000, 0.000, 0.500)
Tb (0.500, 0.000, 0.000)
Tb (0.000, 0.000, 0.000)
Se (0.503, 0.249, 0.249)
Se (0.000, 0.748, 0.252)
Tb (0.000, 0.500, 0.000)
Se (0.500, 0.248, 0.752)

***

[14]
Below is crystalline CePrAu2 at its relaxed geometry, with properties calculated at the PBE level.

SG   R-3m (166)
VASP energy   -19.52 eV for the cell shown
Formation energy   -2.25 eV/f.u.

Lattice parameters (Å, degrees): 4.135 4.135 8.152 75.31 75.31 60.00
Each line ends with the local moment (μB).
Fractional positions:
Au (0.748, 0.748, 0.755)  0.01
Au (0.252, 0.252, 0.245)  0.01
Pr (0.500, 0.500, 0.500)  0.02
Ce (0.000, 0.000, 0.000)  0.89

***

[15]
Below is crystalline CaNpPbO6 at its relaxed geometry, with properties calculated at the PBE level.

SG   P-31c (163)
VASP energy   -135.48 eV for the cell shown
Formation energy (no corrections)   -2.15 eV per atom

Lattice parameters (Å, degrees): 5.795 5.795 9.779 90.00 90.00 120.00
Fractional positions:
Np (0.333, 0.667, 0.750)
O (0.372, 0.332, 0.365)
Pb (0.667, 0.333, 0.750)
Ca (0.000, 0.000, 0.000)
O (0.040, 0.668, 0.865)
Pb (0.333, 0.667, 0.250)
O (0.668, 0.040, 0.365)
O (0.628, 0.668, 0.635)
O (0.372, 0.040, 0.135)
O (0.332, 0.372, 0.865)
O (0.668, 0.628, 0.135)
O (0.332, 0.960, 0.635)
O (0.960, 0.628, 0.365)
O (0.628, 0.960, 0.865)
Ca (0.000, 0.000, 0.500)
O (0.960, 0.332, 0.135)
O (0.040, 0.372, 0.635)
Np (0.667, 0.333, 0.250)

***

[16]
Below is crystalline Pr7Y12Sc at its relaxed geometry, with properties calculated at the PBE level.

E above lowest polymorph   0.000 eV per atom
SG   R-3 (148)
VASP energy   -112.42 eV for the cell shown
Formation energy   4.94 eV/f.u.

Lattice parameters (Å, degrees): 8.801 8.801 8.801 92.95 92.95 92.95
Fractional positions:
Sc (0.000, 0.000, 0.000)
Pr (0.500, 0.500, 0.500)
Y (0.445, 0.836, 0.542)
Y (0.260, 0.713, 0.864)
Y (0.713, 0.864, 0.260)
Y (0.458, 0.555, 0.164)
Y (0.542, 0.445, 0.836)
Y (0.164, 0.458, 0.555)
Y (0.864, 0.260, 0.713)
Pr (0.047, 0.121, 0.368)
Pr (0.632, 0.953, 0.879)
Y (0.287, 0.136, 0.740)
Y (0.136, 0.740, 0.287)
Pr (0.953, 0.879, 0.632)
Pr (0.368, 0.047, 0.121)
Y (0.555, 0.164, 0.458)
Pr (0.879, 0.632, 0.953)
Y (0.836, 0.542, 0.445)
Pr (0.121, 0.368, 0.047)
Y (0.740, 0.287, 0.136)

***

[17]
Below is crystalline SmGd2Ga at its relaxed geometry, with properties calculated at the PBE level.

E above lowest polymorph   0.428 eV per atom
SG   R-3m (166)
VASP energy   -35.30 eV for the cell shown
Formation energy   0.61 eV/f.u.

Lattice parameters (Å, degrees): 3.512 3.512 11.995 81.58 81.58 60.00
Each line ends with the local moment (μB).
Fractional positions:
Sm (0.500, 0.500, 0.500)  0.10
Gd (0.915, 0.915, 0.256)  -7.23
Gd (0.085, 0.085, 0.744)  -7.23
Ga (0.000, 0.000, 0.000)  -0.02

***

[18]
Below is crystalline PmPrIBr at its relaxed geometry, with properties calculated at the PBE level.

SG   F-43m (216)
VASP energy   -16.21 eV for the cell shown
Formation energy (no corrections)   -0.86 eV per atom

Lattice parameters (Å, degrees): 5.400 5.400 5.400 60.00 60.00 60.00
Fractional positions:
Pm (0.500, 0.500, 0.500)
Br (0.750, 0.750, 0.750)
I (0.250, 0.250, 0.250)
Pr (0.000, 0.000, 0.000)

***

[19]
Below is crystalline Pr2In3Ag4 at its relaxed geometry, with properties calculated at the PBE level.

SG   Cmce (64)
VASP energy   -63.02 eV for the cell shown
Formation energy   -2.33 eV/f.u.

Lattice parameters (Å, degrees): 6.234 8.202 8.980 90.00 110.31 90.00
Fractional positions:
Ag (0.829, 0.015, 0.659)
Pr (0.897, 0.402, 0.793)
In (0.000, 0.000, 0.000)
In (0.013, 0.750, 0.527)
In (0.987, 0.250, 0.473)
In (0.487, 0.250, 0.473)
In (0.513, 0.750, 0.527)
Pr (0.397, 0.098, 0.793)
Ag (0.171, 0.985, 0.341)
Ag (0.684, 0.750, 0.867)
Pr (0.603, 0.902, 0.207)
In (0.500, 0.500, 0.000)
Ag (0.671, 0.515, 0.341)
Pr (0.103, 0.598, 0.207)
Ag (0.184, 0.750, 0.867)
Ag (0.816, 0.250, 0.133)
Ag (0.316, 0.250, 0.133)
Ag (0.329, 0.485, 0.659)

***

[20]
Below is crystalline SmEr2AlC at its relaxed geometry, with properties calculated at the PBE level.

SG   P4/mmm (123)
VASP energy   -28.64 eV for the cell shown
Formation energy   -1.82 eV/f.u.

Lattice parameters (Å, degrees): 5.019 4.837 4.837 90.00 90.00 90.00
Fractional positions:
Er (0.000, 0.000, 0.500)
Al (0.500, 0.500, 0.500)
Er (0.000, 0.500, 0.000)
C (0.000, 0.000, 0.000)
Sm (0.500, 0.000, 0.000)